[1]
A plane-wave DFT calculation with GGA-PBE was carried out for a geometry-optimized Ba2Ge2Br structure.

E_form (uncorrected) in kJ per mole of atoms: -87.35
Calculated volume in Å³ per atom: 38.35
Total magnetization in μB per cell: 0.00
Symmetry: P4/mbm
DFT total energy in eV per atom: -3.86

Cell lengths 8.994, 8.994, 4.740 Å; angles 90.00, 90.00, 90.00 degrees
Fractional coordinates of all 10 atoms:
1 Ba 0.188 0.312 0.000
2 Ba 0.312 0.812 0.000
3 Ba 0.688 0.188 0.000
4 Ba 0.812 0.688 0.000
5 Ge 0.092 0.592 0.500
6 Ge 0.408 0.092 0.500
7 Ge 0.592 0.908 0.500
8 Ge 0.908 0.408 0.500
9 Br 0.000 0.000 0.000
10 Br 0.500 0.500 0.000

---

[2]
A plane-wave DFT calculation with GGA-PBE was carried out for a geometry-optimized PaInCo5Ge2 structure.

Calculated volume in Å³ per atom: 14.89
Total magnetization in μB per cell: 1.37
DFT formation energy in kcal/mol of atoms: -1.991
Symmetry: P4/mmm
DFT total energy in eV per atom: -6.42

Cell lengths 3.995, 3.995, 8.392 Å; angles 90.00, 90.00, 90.00 degrees
Fractional coordinates of all 9 atoms:
1 Pa 0.000 0.000 0.000
2 In 0.000 0.000 0.500
3 Co 0.000 0.500 0.215
4 Co 0.000 0.500 0.785
5 Co 0.500 0.000 0.215
6 Co 0.500 0.000 0.785
7 Co 0.500 0.500 0.000
8 Ge 0.500 0.500 0.353
9 Ge 0.500 0.500 0.647

---

[3]
A plane-wave DFT calculation with GGA-PBE was carried out for a geometry-optimized PrTm5Se6 structure.

E_form (uncorrected) in kJ per mole of atoms: -163.06
Calculated volume in Å³ per atom: 23.65
Total magnetization in μB per cell: 0.00
Symmetry: C2/m
DFT total energy in eV per atom: -5.69

Cell lengths 7.029, 7.029, 7.042 Å; angles 99.50, 99.50, 120.21 degrees
Fractional coordinates of all 12 atoms:
1 Pr 0.000 0.000 0.000
2 Tm 0.156 0.844 0.500
3 Tm 0.335 0.665 0.000
4 Tm 0.500 0.500 0.500
5 Tm 0.665 0.335 0.000
6 Tm 0.844 0.156 0.500
7 Se 0.086 0.435 0.260
8 Se 0.264 0.264 0.748
9 Se 0.435 0.086 0.260
10 Se 0.565 0.914 0.740
11 Se 0.736 0.736 0.252
12 Se 0.914 0.565 0.740

---

[4]
A plane-wave DFT calculation with GGA-PBE was carried out for a geometry-optimized ScIr structure.

Calculated volume in Å³ per atom: 17.60
Total magnetization in μB per cell: 0.00
DFT formation energy in kcal/mol of atoms: -17.494
Symmetry: Cm
DFT total energy in eV per atom: -8.35

Cell lengths 5.211, 5.211, 7.707 Å; angles 115.16, 115.16, 34.31 degrees
Fractional coordinates of all 6 atoms:
1 Sc 0.000 0.000 0.000
2 Sc 0.612 0.612 0.715
3 Sc 0.768 0.768 0.380
4 Ir 0.030 0.030 0.361
5 Ir 0.288 0.288 0.074
6 Ir 0.333 0.333 0.698

---

[5]
A plane-wave DFT calculation with GGA-PBE was carried out for a geometry-optimized TiZn5Au3 structure.

Calculated volume in Å³ per atom: 16.10
Total magnetization in μB per cell: 0.00
DFT formation energy in kcal/mol of atoms: -5.161
Symmetry: P6_3/mcm
DFT total energy in eV per atom: -2.90

Cell lengths 7.877, 7.877, 5.393 Å; angles 90.00, 90.00, 120.00 degrees
Fractional coordinates of all 18 atoms:
1 Ti 0.000 0.000 0.000
2 Ti 0.000 0.000 0.500
3 Zn 0.000 0.325 0.250
4 Zn 0.000 0.675 0.750
5 Zn 0.325 0.000 0.250
6 Zn 0.325 0.325 0.750
7 Zn 0.333 0.667 0.000
8 Zn 0.333 0.667 0.500
9 Zn 0.667 0.333 0.000
10 Zn 0.667 0.333 0.500
11 Zn 0.675 0.000 0.750
12 Zn 0.675 0.675 0.250
13 Au 0.000 0.341 0.750
14 Au 0.000 0.659 0.250
15 Au 0.341 0.000 0.750
16 Au 0.341 0.341 0.250
17 Au 0.659 0.000 0.250
18 Au 0.659 0.659 0.750

---

[6]
A plane-wave DFT calculation with GGA-PBE was carried out for a geometry-optimized SrHf2Zr2 structure.

Calculated volume in Å³ per atom: 26.67
Total magnetization in μB per cell: 0.00
DFT formation energy in kcal/mol of atoms: 6.843
Symmetry: P4/mbm
DFT total energy in eV per atom: -7.44

Cell lengths 8.972, 8.972, 3.314 Å; angles 90.00, 90.00, 90.00 degrees
Fractional coordinates of all 10 atoms:
1 Sr 0.000 0.000 0.000
2 Sr 0.500 0.500 0.000
3 Hf 0.167 0.333 0.500
4 Hf 0.333 0.833 0.500
5 Hf 0.667 0.167 0.500
6 Hf 0.833 0.667 0.500
7 Zr 0.121 0.621 0.000
8 Zr 0.379 0.121 0.000
9 Zr 0.621 0.879 0.000
10 Zr 0.879 0.379 0.000

---

[7]
A plane-wave DFT calculation with GGA-PBE was carried out for a geometry-optimized Sr2PtPb structure.

Calculated volume in Å³ per atom: 30.83
Total magnetization in μB per cell: 0.00
DFT formation energy in kcal/mol of atoms: -12.271
Symmetry: Imm2
DFT total energy in eV per atom: -3.81

Cell lengths 6.984, 6.984, 6.984 Å; angles 148.56, 135.67, 55.35 degrees
Fractional coordinates of all 4 atoms:
1 Sr 0.000 0.000 0.000
2 Sr 0.705 0.205 0.500
3 Pt 0.490 0.490 0.000
4 Pb 0.312 0.812 0.500

---

[8]
A plane-wave DFT calculation with GGA-PBE was carried out for a geometry-optimized Pm5Si2Pb2 structure.

E_form (uncorrected) in kJ per mole of atoms: -60.86
Calculated volume in Å³ per atom: 28.46
Total magnetization in μB per cell: 0.00
Symmetry: Cmce
DFT total energy in eV per atom: -5.30

Cell lengths 8.874, 8.874, 8.040 Å; angles 90.00, 90.00, 54.00 degrees
Fractional coordinates of all 18 atoms:
1 Pm 0.000 0.000 0.000
2 Pm 0.053 0.694 0.677
3 Pm 0.194 0.553 0.177
4 Pm 0.306 0.947 0.677
5 Pm 0.447 0.806 0.177
6 Pm 0.500 0.500 0.500
7 Pm 0.553 0.194 0.823
8 Pm 0.694 0.053 0.323
9 Pm 0.806 0.447 0.823
10 Pm 0.947 0.306 0.323
11 Si 0.114 0.886 0.384
12 Si 0.386 0.614 0.884
13 Si 0.614 0.386 0.116
14 Si 0.886 0.114 0.616
15 Pb 0.216 0.216 0.000
16 Pb 0.284 0.284 0.500
17 Pb 0.716 0.716 0.500
18 Pb 0.784 0.784 0.000

---

[9]
A plane-wave DFT calculation with GGA-PBE was carried out for a geometry-optimized Dy8OsPd2 structure.

Calculated volume in Å³ per atom: 27.26
Total magnetization in μB per cell: 0.00
DFT formation energy in kcal/mol of atoms: -6.971
Symmetry: Cm
DFT total energy in eV per atom: -5.61

Cell lengths 7.697, 7.697, 5.981 Å; angles 101.01, 101.01, 115.09 degrees
Fractional coordinates of all 11 atoms:
1 Dy 0.000 0.000 0.000
2 Dy 0.021 0.269 0.559
3 Dy 0.145 0.558 0.173
4 Dy 0.269 0.021 0.559
5 Dy 0.440 0.689 0.763
6 Dy 0.558 0.145 0.173
7 Dy 0.689 0.440 0.763
8 Dy 0.709 0.709 0.350
9 Os 0.354 0.354 0.337
10 Pd 0.052 0.666 0.676
11 Pd 0.666 0.052 0.676

---

[10]
A plane-wave DFT calculation with GGA-PBE was carried out for a geometry-optimized CdRuRh structure.

Calculated volume in Å³ per atom: 18.62
Total magnetization in μB per cell: 0.00
DFT formation energy in kcal/mol of atoms: 13.125
Symmetry: F-43m
DFT total energy in eV per atom: -5.28

Cell lengths 4.291, 4.291, 4.291 Å; angles 60.00, 60.00, 60.00 degrees
Fractional coordinates of all 3 atoms:
1 Cd 0.000 0.000 0.000
2 Ru 0.500 0.500 0.500
3 Rh 0.750 0.750 0.750

---

[11]
A plane-wave DFT calculation with GGA-PBE was carried out for a geometry-optimized K2LiHfF6 structure.

E_form (uncorrected) in kJ per mole of atoms: -295.01
Calculated volume in Å³ per atom: 15.04
Total magnetization in μB per cell: 0.99
Symmetry: C2/m
DFT total energy in eV per atom: -5.59

Cell lengths 5.811, 5.811, 5.812 Å; angles 116.21, 116.21, 63.80 degrees
Fractional coordinates of all 10 atoms:
1 K 0.248 0.248 0.253
2 K 0.752 0.752 0.747
3 Li 0.000 0.000 0.500
4 Hf 0.500 0.500 0.000
5 F 0.228 0.745 0.753
6 F 0.254 0.254 0.730
7 F 0.255 0.772 0.247
8 F 0.745 0.228 0.753
9 F 0.746 0.746 0.270
10 F 0.772 0.255 0.247

---

[12]
A plane-wave DFT calculation with GGA-PBE was carried out for a geometry-optimized Y2In2Tc structure.

Calculated volume in Å³ per atom: 24.53
Total magnetization in μB per cell: 2.57
DFT formation energy in kcal/mol of atoms: -0.967
Symmetry: P4/mbm
DFT total energy in eV per atom: -5.80

Cell lengths 7.420, 7.420, 4.455 Å; angles 90.00, 90.00, 90.00 degrees
Fractional coordinates of all 10 atoms:
1 Y 0.174 0.326 0.000
2 Y 0.326 0.826 0.000
3 Y 0.674 0.174 0.000
4 Y 0.826 0.674 0.000
5 In 0.138 0.638 0.500
6 In 0.362 0.138 0.500
7 In 0.638 0.862 0.500
8 In 0.862 0.362 0.500
9 Tc 0.000 0.000 0.500
10 Tc 0.500 0.500 0.500